# PBE InNiOs2, relaxed
# - calculated volume (A^3/atom) = 14.90
# - formation energy from the elements (eV per atom) = 0.49
# - size of the total moment (μB/atom) = 0.0000
# - calculated total energy (eV/f.u.) = -29.01
data_InNiOs2
_chemical_formula_sum 'In2 Ni2 Os4'
_cell_length_a 3.0070
_cell_length_b 4.5113
_cell_length_c 8.7859
_cell_angle_alpha 90.00
_cell_angle_beta 90.00
_cell_angle_gamma 90.00
_symmetry_space_group_name_H-M 'I m m 2'
_symmetry_Int_Tables_number 44
_symmetry_space_group_name_Hall 'I 2 -2'
loop_
_atom_site_label
_atom_site_type_symbol
_atom_site_fract_x
_atom_site_fract_y
_atom_site_fract_z
In1 In 0.0000 0.0000 0.0000
Ni1 Ni 0.0000 0.5000 0.7412
Os1 Os 0.0000 0.0000 0.4819
Os2 Os 0.0000 0.5000 0.2319